# 1
This record from the Alexandria database describes a relaxed structure of CeCo2Ni5. The functional is GGA-PBE.

a b c (Å): 3.580 5.800 5.800
angles (deg): 73.75 72.03 72.03
Site moments in Bohr magnetons follow the coordinates.
Atoms (fractional coordinates):
1 Ni 0.650 0.172 0.528  0.54
2 Ni 0.000 0.500 0.500  0.55
3 Ni 0.350 0.472 0.828  0.54
4 Ni 0.350 0.828 0.472  0.54
5 Ni 0.650 0.528 0.172  0.54
6 Co 0.729 0.771 0.771  1.16
7 Co 0.271 0.229 0.229  1.16
8 Ce 0.000 0.000 0.000  -0.52

***

# 2
This record from the Alexandria database describes a relaxed structure of CeCoNi. The functional is GGA-PBE.

Summary:
Energy above the lowest structure with this stoichiometry (eV per formula unit): 0.00

a b c (Å): 5.118 5.037 5.037
angles (deg): 58.76 59.47 59.47
Atoms (fractional coordinates):
1 Co 0.500 0.000 0.000
2 Co 0.000 0.000 0.000
3 Ce 0.877 0.373 0.373
4 Ce 0.123 0.627 0.627
5 Ni 0.500 0.500 0.000
6 Ni 0.500 0.000 0.500

***

# 3
This record from the Alexandria database describes a relaxed structure of CeCoNi3. The functional is GGA-PBE.

Summary:
Energy above the lowest structure with this stoichiometry (eV per formula unit): 0.00

a b c (Å): 4.733 5.133 6.426
angles (deg): 113.54 90.00 90.00
Site moments in Bohr magnetons follow the coordinates.
Atoms (fractional coordinates):
1 Ni 0.750 0.613 0.702  0.18
2 Ni 0.750 0.181 0.362  0.21
3 Ni 0.250 0.911 0.298  0.18
4 Ni 0.750 0.089 0.702  0.18
5 Ni 0.250 0.387 0.298  0.18
6 Ni 0.250 0.819 0.638  0.21
7 Co 0.500 0.000 0.000  1.18
8 Co 0.000 0.000 0.000  1.18
9 Ce 0.750 0.614 0.228  -0.33
10 Ce 0.250 0.386 0.772  -0.33

***

# 4
This record from the Alexandria database describes a relaxed structure of Ce5Co2Ni12. The functional is GGA-PBE.

a b c (Å): 6.141 6.542 8.018
angles (deg): 65.92 84.26 90.00
Site moments in Bohr magnetons follow the coordinates.
Atoms (fractional coordinates):
1 Ni 0.317 0.450 0.101  0.22
2 Ni 0.365 0.402 0.809  0.08
3 Ni 0.635 0.211 0.191  0.08
4 Ni 0.683 0.550 0.899  0.22
5 Ni 0.635 0.598 0.191  0.08
6 Ni 0.090 0.098 0.805  0.20
7 Ni 0.765 0.952 0.721  0.05
8 Ni 0.765 0.327 0.721  0.05
9 Ni 0.235 0.048 0.279  0.05
10 Ni 0.235 0.673 0.279  0.05
11 Ni 0.365 0.789 0.809  0.08
12 Ni 0.910 0.902 0.195  0.20
13 Ce 0.942 0.319 0.361  -0.31
14 Ce 0.058 0.681 0.639  -0.31
15 Ce 0.500 0.000 0.000  -0.13
16 Ce 0.405 0.234 0.532  -0.24
17 Ce 0.595 0.766 0.468  -0.24
18 Co 0.000 0.688 0.000  1.47
19 Co 0.000 0.312 0.000  1.47

***

# 5
This record from the Alexandria database describes a relaxed structure of Ce3Co2Ni7. The functional is GGA-PBE.

a b c (Å): 4.934 4.934 8.761
angles (deg): 73.64 73.64 60.00
Site moments in Bohr magnetons follow the coordinates.
Atoms (fractional coordinates):
1 Ni 0.500 0.500 0.500  0.01
2 Ni 0.919 0.418 0.245  0.17
3 Ni 0.582 0.582 0.755  0.17
4 Ni 0.081 0.582 0.755  0.17
5 Ni 0.418 0.919 0.245  0.17
6 Ni 0.582 0.081 0.755  0.17
7 Ni 0.418 0.418 0.245  0.17
8 Ce 0.000 0.000 0.000  -0.57
9 Ce 0.862 0.862 0.415  -0.39
10 Ce 0.138 0.138 0.585  -0.39
11 Co 0.333 0.333 0.002  1.13
12 Co 0.667 0.667 0.998  1.13

***

# 6
This record from the Alexandria database describes a relaxed structure of Ce3Co2Ni3. The functional is GGA-PBE.

a b c (Å): 3.783 4.637 8.207
angles (deg): 95.41 103.32 90.00
Atoms (fractional coordinates):
1 Ni 0.622 0.928 0.245
2 Ni 0.500 0.500 0.000
3 Ni 0.378 0.072 0.755
4 Ce 0.158 0.515 0.317
5 Ce 0.842 0.485 0.683
6 Ce 0.000 0.000 0.000
7 Co 0.782 0.889 0.565
8 Co 0.218 0.111 0.435

***

Total energy readings, ordered: -6.15, -6.59, -6.29, -6.17, -6.36, -6.43 eV per atom
Calculated formation energy readings, ordered: -0.018, -0.319, -0.213, -0.206, -0.321, -0.256 eV/atom